# 1
# PmPr2Th PBE optimized geometry
# Magnetization ... 0.0000 μB/atom
# Excess energy over the best structure of this formula in the dataset ... 3 meV per atom
# Energy relative to the elements ... 0.04 eV/atom
data_PmPr2Th
_cell_length_a 3.648
_cell_length_b 3.648
_cell_length_c 10.465
_cell_angle_alpha 90.00
_cell_angle_beta 90.00
_cell_angle_gamma 90.00
_symmetry_space_group_name_H-M 'P 4/m m m'
_symmetry_Int_Tables_number 123
_symmetry_space_group_name_Hall '-P 4 2'
loop_
_atom_site_label
_atom_site_type_symbol
_atom_site_fract_x
_atom_site_fract_y
_atom_site_fract_z
Pm1 Pm 0.000 0.000 0.000
Pr1 Pr 0.500 0.500 0.261
Th1 Th 0.000 0.000 0.500

# 2
# Hf2CuSbH PBE optimized geometry
# Magnetization ... 0.0000 μB/atom
# Total energy ... -32.57 eV for the cell shown
data_Hf2CuSbH
_cell_length_a 4.320
_cell_length_b 4.320
_cell_length_c 4.212
_cell_angle_alpha 90.00
_cell_angle_beta 90.00
_cell_angle_gamma 90.00
_symmetry_space_group_name_H-M 'P 4/m m m'
_symmetry_Int_Tables_number 123
_symmetry_space_group_name_Hall '-P 4 2'
loop_
_atom_site_label
_atom_site_type_symbol
_atom_site_fract_x
_atom_site_fract_y
_atom_site_fract_z
Hf1 Hf 0.000 0.500 0.000
Cu1 Cu 0.000 0.000 0.500
Sb1 Sb 0.500 0.500 0.500
H1 H 0.000 0.000 0.000

# 3
# Cs2SmCdBr6 PBE optimized geometry
# Formation energy without anion corrections ... -1.54 eV per atom
# Magnetization ... 0.0002 μB/atom
data_Cs2SmCdBr6
_cell_length_a 8.351
_cell_length_b 11.785
_cell_length_c 8.350
_cell_angle_alpha 90.00
_cell_angle_beta 90.00
_cell_angle_gamma 90.00
_symmetry_space_group_name_H-M 'P m m n'
_symmetry_Int_Tables_number 59
loop_
_symmetry_equiv_pos_as_xyz
'x,y,z'
'-x,-y,-z'
'-x+1/2,-y+1/2,z'
'x+1/2,y+1/2,-z'
'x+1/2,-y,-z'
'-x+1/2,y,z'
'-x,y+1/2,-z'
'x,-y+1/2,z'
loop_
_atom_site_label
_atom_site_type_symbol
_atom_site_fract_x
_atom_site_fract_y
_atom_site_fract_z
Cs1 Cs 0.250 0.000 0.249
Sm1 Sm 0.250 0.250 0.753
Cd1 Cd 0.250 0.750 0.747
Br1 Br 0.006 0.250 0.512
Br2 Br 0.009 0.250 0.997
Br3 Br 0.250 0.007 0.752

# 4
# DyNbCuRu PBE optimized geometry
# Magnetization ... 0.0001 μB/atom
# Energy relative to the elements ... -0.06 eV/atom
data_DyNbCuRu
_cell_length_a 6.580
_cell_length_b 6.580
_cell_length_c 6.580
_cell_angle_alpha 90.00
_cell_angle_beta 90.00
_cell_angle_gamma 90.00
_symmetry_space_group_name_H-M 'F -4 3 m'
_symmetry_Int_Tables_number 216
_symmetry_space_group_name_Hall 'F -4 2 3'
loop_
_atom_site_label
_atom_site_type_symbol
_atom_site_fract_x
_atom_site_fract_y
_atom_site_fract_z
Dy1 Dy 0.000 0.000 0.000
Nb1 Nb 0.000 0.000 0.500
Cu1 Cu 0.250 0.250 0.250
Ru1 Ru 0.250 0.250 0.750

Question: What is the magnetization in the first record?
Answer: 0.0000 μB/atom